(1)
# CaNdN | the Alexandria database | PBE | optimized geometry
# ρ, g cm⁻³: 4.7
# E, eV per cell: -33.23
# D(E_F), states/eV per cell: 4.0
data_CaNdN
_symmetry_space_group_name_H-M 'P -6 m 2'
_symmetry_Int_Tables_number 187
_symmetry_space_group_name_Hall 'P -6 2'
_cell_length_a 3.5163
_cell_length_b 3.5163
_cell_length_c 13.2086
_cell_angle_alpha 90.00
_cell_angle_beta 90.00
_cell_angle_gamma 120.00
loop_
_atom_site_label
_atom_site_type_symbol
_atom_site_fract_x
_atom_site_fract_y
_atom_site_fract_z
Ca1 Ca 0.0000 0.0000 0.1025
Nd1 Nd 0.3333 0.6667 0.3831
N1 N 0.0000 0.0000 0.5000
N2 N 0.3333 0.6667 0.0000


(2)
# TaV3Sb | the Alexandria database | PBE | optimized geometry
# ρ, g cm⁻³: 7.5
# E, eV per cell: -36.92
# D(E_F), states/eV per cell: 4.9
data_TaV3Sb
_symmetry_space_group_name_H-M 'P m -3 m'
_symmetry_Int_Tables_number 221
_symmetry_space_group_name_Hall '-P 4 2 3'
_cell_length_a 4.647
_cell_length_b 4.647
_cell_length_c 4.647
_cell_angle_alpha 90.00
_cell_angle_beta 90.00
_cell_angle_gamma 90.00
loop_
_atom_site_label
_atom_site_type_symbol
_atom_site_fract_x
_atom_site_fract_y
_atom_site_fract_z
Ta1 Ta 0.000 0.000 0.000
V1 V 0.000 0.000 0.500
Sb1 Sb 0.500 0.500 0.500


(3)
# Dy2Ho2Tm7 | the Alexandria database | PBE | optimized geometry
# ρ, g cm⁻³: 8.9
# Energy relative to the elements, eV/atom: 0.1654
# E, eV per cell: -95.68
# D(E_F), states/eV per cell: 35.1
data_Dy2Ho2Tm7
_symmetry_space_group_name_H-M 'C 1 2/m 1'
_symmetry_Int_Tables_number 12
_symmetry_space_group_name_Hall '-C 2y'
_cell_length_a 10.978
_cell_length_b 11.386
_cell_length_c 5.959
_cell_angle_alpha 90.00
_cell_angle_beta 113.60
_cell_angle_gamma 90.00
loop_
_atom_site_label
_atom_site_type_symbol
_atom_site_fract_x
_atom_site_fract_y
_atom_site_fract_z
Dy1 Dy 0.000 0.214 0.000
Ho1 Ho 0.092 0.500 0.305
Tm1 Tm 0.000 0.000 0.500
Tm2 Tm 0.173 0.238 0.677
Tm3 Tm 0.231 0.000 0.081


(4)
# Cd2AgCl6 | the Alexandria database | PBE | optimized geometry
# ρ, g cm⁻³: 3.7
# E, eV per cell: -45.10
# D(E_F), states/eV per cell: 8.0
data_Cd2AgCl6
_symmetry_space_group_name_H-M 'C 1 2/m 1'
_symmetry_Int_Tables_number 12
_symmetry_space_group_name_Hall '-C 2y'
_cell_length_a 12.546
_cell_length_b 4.585
_cell_length_c 8.800
_cell_angle_alpha 90.00
_cell_angle_beta 104.54
_cell_angle_gamma 90.00
loop_
_atom_site_label
_atom_site_type_symbol
_atom_site_fract_x
_atom_site_fract_y
_atom_site_fract_z
Cd1 Cd 0.214 0.000 0.179
Ag1 Ag 0.000 0.000 0.500
Cl1 Cl 0.020 0.000 0.237
Cl2 Cl 0.142 0.500 0.569
Cl3 Cl 0.161 0.500 0.041